Record 1
VASP calculation (PBE) on a geometry-optimized K5ReO4F2 structure.

Values from the calculation:
* V: 20.80 Å³ per atom
* ΔE_f (raw): -1.92 eV/atom

a = 7.475 Å, b = 10.341 Å, c = 6.458 Å
α = 90.00°, β = 90.00°, γ = 90.00°
Space group Amm2 (No. 38)
Asymmetric unit:
K1 0.000 0.000 0.000 (multiplicity 2)
K2 0.259 0.185 0.484 (multiplicity 8)
Re1 0.500 0.000 0.989 (multiplicity 2)
O1 0.320 0.000 0.194 (multiplicity 4)
O2 0.500 0.143 0.818 (multiplicity 4)
F1 0.000 0.204 0.756 (multiplicity 4)

---

Record 2
VASP calculation (PBE) on a geometry-optimized SrY2P structure.

Values from the calculation:
* V: 33.39 Å³ per atom
* DFT formation energy: -0.375 eV per atom

a = 9.185 Å, b = 9.185 Å, c = 6.332 Å
α = 90.00°, β = 90.00°, γ = 90.00°
Space group I-42d (No. 122)
Asymmetric unit:
Sr1 0.000 0.000 0.000 (multiplicity 4)
Y1 0.145 0.750 0.625 (multiplicity 8)
P1 0.000 0.000 0.500 (multiplicity 4)

---

Record 3
VASP calculation (PBE) on a geometry-optimized Eu structure.

Values from the calculation:
* V: 43.14 Å³ per atom
* energy above the most stable polymorph in this dataset: 0.107 eV/atom
* DFT formation energy: 0.107 eV per atom

a = 3.764 Å, b = 7.062 Å, c = 12.985 Å
α = 90.00°, β = 90.00°, γ = 90.00°
Space group Fddd (No. 70, origin choice 2)
Asymmetric unit:
Eu1 0.125 0.125 0.125 (multiplicity 8)

---

Record 4
VASP calculation (PBE) on a geometry-optimized ThGa5Ag structure.

Values from the calculation:
* V: 20.80 Å³ per atom
* DFT formation energy: -0.255 eV per atom

a = 4.538 Å, b = 4.538 Å, c = 7.071 Å
α = 90.00°, β = 90.00°, γ = 90.00°
Space group P4/mmm (No. 123)
Asymmetric unit:
Th1 0.000 0.000 0.000 (multiplicity 1)
Ga1 0.000 0.500 0.296 (multiplicity 4)
Ga2 0.500 0.500 0.000 (multiplicity 1)
Ag1 0.000 0.000 0.500 (multiplicity 1)